The following is a DFT calculation (GGA+U) of a geometry-optimized Na2ErPWO8 structure.

Summary:
Total energy in eV per atom: -7.06

a b c (Å): 6.906 12.177 18.257
angles (deg): 90.00 90.00 90.00
Space group Ibca (No. 73)
Unique sites:
Na1 0.001 0.053 0.155 [16 per cell]
Er1 0.250 0.178 0.500 [8 per cell]
P1 0.250 0.069 0.000 [8 per cell]
W1 0.000 0.250 0.323 [8 per cell]
O1 0.044 0.128 0.769 [16 per cell]
O2 0.074 0.149 0.006 [16 per cell]
O3 0.213 0.224 0.380 [16 per cell]
O4 0.241 0.007 0.568 [16 per cell]


The following is a DFT calculation (GGA+U) of a geometry-optimized Sm12Mn3O5 structure.

Summary:
Total energy in eV per atom: -6.42

a b c (Å): 15.932 15.932 15.932
angles (deg): 90.00 90.00 90.00
Space group Ia-3d (No. 230)
Unique sites:
Sm1 0.041 0.050 0.647 [96 per cell]
Mn1 0.000 0.250 0.125 [24 per cell]
O1 0.000 0.000 0.000 [16 per cell]
O2 0.000 0.250 0.375 [24 per cell]


Taking the records one at a time from the top gives Fermi-level density of states values of 0.000 0.722 states/eV per atom.
Taking the records one at a time from the top gives ρ values of 4.81 6.73 g cm⁻³.